Entry 1:
DFT (PBE) results for a relaxed structure of CeHfNiOs.

Output
space group: F-43m
spin magnetization: 0.001 μB per atom
formation energy from the elements: -0.249 eV/atom

Geometry as POSCAR:
```
CeHfNiOs
1.0
0.000 3.338 3.338
3.338 0.000 3.338
3.338 3.338 0.000
Ce Hf Ni Os
1 1 1 1
Direct
0.000 0.000 0.000
0.500 0.500 0.500
0.750 0.750 0.750
0.250 0.250 0.250
```

Entry 2:
DFT (PBE) results for a relaxed structure of BaVTe2.

Output
space group: I-42d
spin magnetization: 0.750 μB per atom
ΔE to the lowest computed polymorph: 0.00 eV/f.u.

Geometry as POSCAR:
```
BaVTe2
1.0
-4.108 4.108 4.078
4.108 -4.108 4.078
4.108 4.108 -4.078
Ba V Te
2 2 4
Direct
0.000 0.000 0.000
0.750 0.250 0.500
0.250 0.750 0.500
0.500 0.500 0.000
0.206 0.625 0.081
0.375 0.456 0.581
0.544 0.125 0.919
0.875 0.794 0.419
```

Entry 3:
DFT (PBE) results for a relaxed structure of LiTbBeHg.

Output
space group: F-43m
spin magnetization: 0.000 μB per atom
formation energy from the elements: -0.133 eV/atom

Geometry as POSCAR:
```
LiTbBeHg
1.0
0.000 3.273 3.273
3.273 0.000 3.273
3.273 3.273 0.000
Li Tb Be Hg
1 1 1 1
Direct
0.000 0.000 0.000
0.250 0.250 0.250
0.500 0.500 0.500
0.750 0.750 0.750
```

Entry 4:
DFT (PBE) results for a relaxed structure of SmEuPtPb.

Output
space group: F-43m
spin magnetization: 1.724 μB per atom
formation energy from the elements: -0.644 eV/atom

Geometry as POSCAR:
```
SmEuPtPb
1.0
0.000 3.762 3.762
3.762 0.000 3.762
3.762 3.762 0.000
Sm Eu Pt Pb
1 1 1 1
Direct
0.000 0.000 0.000
0.500 0.500 0.500
0.750 0.750 0.750
0.250 0.250 0.250
```

Entry 5:
DFT (PBE) results for a relaxed structure of TbCe2Si.

Output
space group: P2_1/m
spin magnetization: 0.000 μB per atom
ΔE to the lowest computed polymorph: 0.00 eV/f.u.

Geometry as POSCAR:
```
TbCe2Si
1.0
4.284 0.000 0.000
0.000 4.250 0.000
-2.062 0.000 10.896
Tb Ce Si
2 4 2
Direct
0.199 0.250 0.396
0.801 0.750 0.604
0.100 0.750 0.125
0.479 0.750 0.872
0.521 0.250 0.128
0.900 0.250 0.875
0.325 0.250 0.669
0.675 0.750 0.331
```